Version one
Entry from the Alexandria database: KNa2Bi2 at its PBEsol-relaxed geometry (SCAN).

Properties
As for the magnetization: 0.06 μB per cell. The density of states at the Fermi level is 1.94 states/eV per cell.

a = 5.115 Å, b = 5.115 Å, c = 7.676 Å
α = 109.46°, β = 109.46°, γ = 90.00°
Fractional coordinates of all 5 atoms:
Na (0.250, 0.750, 0.500)
Na (0.750, 0.250, 0.500)
K (0.000, 0.000, 0.000)
Bi (0.393, 0.393, 0.785)
Bi (0.607, 0.607, 0.215)

***

Version two
Entry from the Alexandria database: KNa2Bi2 at its PBEsol-relaxed geometry (SCAN).

Properties
As for the magnetization: 0.00 μB per cell. The density of states at the Fermi level is 3.59 states/eV per cell.

a = 3.392 Å, b = 9.703 Å, c = 9.703 Å
α = 90.00°, β = 90.00°, γ = 90.00°
Fractional coordinates of all 10 atoms:
Na (0.500, 0.128, 0.628)
Na (0.500, 0.628, 0.872)
Na (0.500, 0.872, 0.372)
Na (0.500, 0.372, 0.128)
K (0.000, 0.000, 0.000)
K (0.000, 0.500, 0.500)
Bi (0.000, 0.335, 0.835)
Bi (0.000, 0.835, 0.665)
Bi (0.000, 0.665, 0.165)
Bi (0.000, 0.165, 0.335)

***

Result of the stability comparison: version one is the least stable of them.

***

Version one
Entry from the Alexandria database: KBiP2Se6 at its PBEsol-relaxed geometry (SCAN).

Properties
As for the magnetization: 0.00 μB per cell. The density of states at the Fermi level is 0.00 states/eV per cell.

a = 7.481 Å, b = 12.312 Å, c = 12.343 Å
α = 110.85°, β = 90.00°, γ = 90.00°
Fractional coordinates of all 40 atoms:
K (0.421, 0.411, 0.134)
K (0.579, 0.589, 0.866)
K (0.079, 0.411, 0.634)
K (0.921, 0.589, 0.366)
Bi (0.357, 0.884, 0.663)
Bi (0.857, 0.116, 0.837)
Bi (0.643, 0.116, 0.337)
Bi (0.143, 0.884, 0.163)
P (0.907, 0.236, 0.183)
P (0.367, 0.236, 0.803)
P (0.133, 0.236, 0.303)
P (0.867, 0.764, 0.697)
P (0.593, 0.236, 0.683)
P (0.407, 0.764, 0.317)
P (0.633, 0.764, 0.197)
P (0.093, 0.764, 0.817)
Se (0.490, 0.161, 0.926)
Se (0.757, 0.591, 0.619)
Se (0.304, 0.665, 0.697)
Se (0.675, 0.887, 0.816)
Se (0.510, 0.839, 0.074)
Se (0.825, 0.887, 0.316)
Se (0.804, 0.335, 0.803)
Se (0.196, 0.665, 0.197)
Se (0.257, 0.409, 0.881)
Se (0.496, 0.307, 0.555)
Se (0.743, 0.591, 0.119)
Se (0.189, 0.948, 0.888)
Se (0.175, 0.113, 0.684)
Se (0.504, 0.693, 0.445)
Se (0.696, 0.335, 0.303)
Se (0.689, 0.052, 0.612)
Se (0.811, 0.052, 0.112)
Se (0.325, 0.113, 0.184)
Se (0.010, 0.161, 0.426)
Se (0.990, 0.839, 0.574)
Se (0.996, 0.693, 0.945)
Se (0.311, 0.948, 0.388)
Se (0.004, 0.307, 0.055)
Se (0.243, 0.409, 0.381)

***

Version two
Entry from the Alexandria database: KBiP2Se6 at its PBEsol-relaxed geometry (SCAN).

Properties
As for the magnetization: 0.00 μB per cell. The density of states at the Fermi level is 0.00 states/eV per cell.

a = 6.866 Å, b = 7.532 Å, c = 10.251 Å
α = 90.00°, β = 91.86°, γ = 90.00°
Fractional coordinates of all 20 atoms:
K (0.698, 0.045, 0.497)
K (0.302, 0.545, 0.503)
Bi (0.788, 0.269, 0.986)
Bi (0.212, 0.769, 0.014)
P (0.688, 0.755, 0.825)
P (0.312, 0.255, 0.175)
P (0.202, 0.030, 0.297)
P (0.798, 0.530, 0.703)
Se (0.646, 0.632, 0.021)
Se (0.174, 0.116, 0.495)
Se (0.929, 0.952, 0.823)
Se (0.420, 0.822, 0.268)
Se (0.586, 0.352, 0.261)
Se (0.580, 0.322, 0.732)
Se (0.065, 0.440, 0.816)
Se (0.935, 0.940, 0.184)
Se (0.826, 0.616, 0.505)
Se (0.354, 0.132, 0.979)
Se (0.071, 0.452, 0.177)
Se (0.414, 0.852, 0.739)

***

Result of the stability comparison: version two is the least stable of them.

***

Version one
Entry from the Alexandria database: KBi2Sb2 at its PBEsol-relaxed geometry (SCAN).

Properties
As for the magnetization: 0.00 μB per cell. The density of states at the Fermi level is 4.91 states/eV per cell.

a = 4.060 Å, b = 8.809 Å, c = 8.809 Å
α = 90.00°, β = 90.00°, γ = 90.00°
Fractional coordinates of all 10 atoms:
Sb (0.500, 0.163, 0.663)
Sb (0.500, 0.663, 0.837)
Sb (0.500, 0.837, 0.337)
Sb (0.500, 0.337, 0.163)
K (0.000, 0.000, 0.000)
K (0.000, 0.500, 0.500)
Bi (0.000, 0.368, 0.868)
Bi (0.000, 0.868, 0.632)
Bi (0.000, 0.632, 0.132)
Bi (0.000, 0.132, 0.368)

***

Version two
Entry from the Alexandria database: KBi2Sb2 at its PBEsol-relaxed geometry (SCAN).

Properties
As for the magnetization: 0.00 μB per cell. The density of states at the Fermi level is 1.59 states/eV per cell.

a = 5.769 Å, b = 5.769 Å, c = 6.837 Å
α = 114.95°, β = 114.95°, γ = 90.00°
Fractional coordinates of all 5 atoms:
Sb (0.250, 0.750, 0.500)
Sb (0.750, 0.250, 0.500)
K (0.000, 0.000, 0.000)
Bi (0.352, 0.352, 0.703)
Bi (0.648, 0.648, 0.297)

***

Result of the stability comparison: version one is the least stable of them.

***

Version one
Entry from the Alexandria database: KSrBi2 at its PBEsol-relaxed geometry (SCAN).

Properties
As for the magnetization: 1.85 μB per cell. The density of states at the Fermi level is 6.35 states/eV per cell.

a = 6.696 Å, b = 7.364 Å, c = 7.364 Å
α = 78.07°, β = 62.96°, γ = 62.96°
Site moments in Bohr magnetons follow the coordinates.
Fractional coordinates of all 8 atoms:
Sr (0.000, 0.000, 0.000)  0.04
Sr (0.750, 0.500, 0.500)  0.04
K (0.500, 0.000, 0.000)  0.01
K (0.250, 0.500, 0.500)  0.01
Bi (0.629, 0.996, 0.496)  0.27
Bi (0.121, 0.004, 0.504)  0.27
Bi (0.375, 0.504, 0.996)  0.27
Bi (0.875, 0.496, 0.004)  0.27

***

Version two
Entry from the Alexandria database: KSrBi2 at its PBEsol-relaxed geometry (SCAN).

Properties
As for the magnetization: 0.00 μB per cell. The density of states at the Fermi level is 2.28 states/eV per cell.

a = 5.784 Å, b = 5.784 Å, c = 5.784 Å
α = 60.00°, β = 60.00°, γ = 60.00°
Fractional coordinates of all 4 atoms:
Sr (0.500, 0.500, 0.500)
K (0.000, 0.000, 0.000)
Bi (0.250, 0.250, 0.250)
Bi (0.750, 0.750, 0.750)

***

Result of the stability comparison: version one is the least stable of them.

***

Version one
Entry from the Alexandria database: KY2Bi at its PBEsol-relaxed geometry (SCAN).

Properties
As for the magnetization: 1.55 μB per cell. The density of states at the Fermi level is 4.24 states/eV per cell.

a = 5.492 Å, b = 5.492 Å, c = 5.492 Å
α = 60.00°, β = 60.00°, γ = 60.00°
Site moments in Bohr magnetons follow the coordinates.
Fractional coordinates of all 4 atoms:
Y (0.250, 0.250, 0.250)  0.43
Y (0.750, 0.750, 0.750)  0.43
K (0.000, 0.000, 0.000)  0.03
Bi (0.500, 0.500, 0.500)  0.01

***

Version two
Entry from the Alexandria database: KY2Bi at its PBEsol-relaxed geometry (SCAN).

Properties
As for the magnetization: 4.99 μB per cell. The density of states at the Fermi level is 6.03 states/eV per cell.

a = 6.020 Å, b = 6.020 Å, c = 11.521 Å
α = 105.15°, β = 105.15°, γ = 90.00°
Site moments in Bohr magnetons follow the coordinates.
Fractional coordinates of all 8 atoms:
Y (0.625, 0.875, 0.750)  -0.73
Y (0.125, 0.875, 0.750)  -0.73
Y (0.125, 0.875, 0.250)  -0.73
Y (0.125, 0.375, 0.250)  -0.73
K (0.500, 0.500, 0.000)  -0.02
K (0.750, 0.250, 0.500)  -0.02
Bi (0.000, 0.000, 0.000)  0.07
Bi (0.250, 0.750, 0.500)  0.07

***

Result of the stability comparison: version two is the least stable of them.

***

Version one
Entry from the Alexandria database: Li2BiO3 at its PBEsol-relaxed geometry (SCAN).

Properties
As for the magnetization: 0.00 μB per cell. The density of states at the Fermi level is 3.64 states/eV per cell.

a = 5.704 Å, b = 5.709 Å, c = 9.356 Å
α = 90.00°, β = 90.00°, γ = 90.00°
Fractional coordinates of all 24 atoms:
Li (0.000, 0.000, 0.500)
Li (0.500, 0.000, 0.000)
Li (0.250, 0.754, 0.750)
Li (0.750, 0.746, 0.750)
Li (0.000, 0.500, 0.500)
Li (0.500, 0.500, 0.000)
Li (0.250, 0.254, 0.250)
Li (0.750, 0.246, 0.250)
Bi (0.500, 0.750, 0.400)
Bi (0.000, 0.750, 0.100)
Bi (0.000, 0.250, 0.900)
Bi (0.500, 0.250, 0.600)
O (0.713, 0.914, 0.576)
O (0.787, 0.914, 0.924)
O (0.750, 0.910, 0.250)
O (0.250, 0.590, 0.250)
O (0.287, 0.586, 0.576)
O (0.213, 0.586, 0.924)
O (0.713, 0.414, 0.424)
O (0.787, 0.414, 0.076)
O (0.750, 0.410, 0.750)
O (0.250, 0.090, 0.750)
O (0.213, 0.086, 0.076)
O (0.287, 0.086, 0.424)

***

Version two
Entry from the Alexandria database: Li2BiO3 at its PBEsol-relaxed geometry (SCAN).

Properties
As for the magnetization: 0.00 μB per cell. The density of states at the Fermi level is 1.14 states/eV per cell.

a = 5.475 Å, b = 5.475 Å, c = 5.552 Å
α = 99.47°, β = 99.47°, γ = 120.46°
Fractional coordinates of all 12 atoms:
Bi (0.917, 0.101, 0.509)
Bi (0.101, 0.917, 0.009)
O (0.842, 0.687, 0.267)
O (0.687, 0.842, 0.767)
O (0.508, 0.008, 0.259)
O (0.175, 0.330, 0.251)
O (0.008, 0.508, 0.759)
O (0.330, 0.175, 0.751)
Li (0.255, 0.761, 0.508)
Li (0.585, 0.432, 0.509)
Li (0.432, 0.585, 0.009)
Li (0.761, 0.255, 0.008)

***

Result of the stability comparison: version one is the least stable of them.